Entry 1:
The following is a DFT calculation (PBE-GGA) of DyMgCuAu after structural relaxation.

Computed properties:
- Space-group type: F-43m
- Crystal system: cubic
- Formation energy: -488.8 meV/atom

Cell: 4.818 4.818 4.818 Å, 60.00 60.00 60.00°
Atoms (fractional coordinates):
Dy: 0.000 0.000 0.000
Mg: 0.500 0.500 0.500
Cu: 0.750 0.750 0.750
Au: 0.250 0.250 0.250

Entry 2:
The following is a DFT calculation (PBE-GGA) of NdDyCuAu after structural relaxation.

Computed properties:
- Energy above the lowest structure with this stoichiometry: 0.034 eV per atom
- Space-group type: F-43m
- Crystal system: cubic
- Formation energy: -484.5 meV/atom

Cell: 5.104 5.104 5.104 Å, 60.00 60.00 60.00°
Atoms (fractional coordinates):
Nd: 0.000 0.000 0.000
Dy: 0.500 0.500 0.500
Cu: 0.750 0.750 0.750
Au: 0.250 0.250 0.250